Bi2MoH2 after structural relaxation. Source: Alexandria via LeMat-Bulk, functional GGA-PBE.

The space group is I4/mmm (No. 139) and the conventional cell measures 3.427, 3.427 and 13.511 Å, with angles of 90.00, 90.00 and 90.00 degrees. The inequivalent atoms are Bi at (0.000, 0.000, 0.129), Mo at (0.000, 0.000, 0.500) and H at (0.000, 0.500, 0.250).

As for the uncorrected energy: -4.339 eV per atom. The calculation puts the size of the total moment at 0.000 μB per atom. For the volume, the calculation gives 158.7 Å³/cell.